# 1
First-principles (GGA-PBE) data for a relaxed structure of Lu2RhCl, as listed in Alexandria via LeMat-Bulk.

Properties
**Uncorrected formation energy**: -1172.0 meV/atom

Cell lengths 3.8728, 3.8728, 22.0336 Å; angles 90.00, 90.00, 120.00 degrees
Space group R-3m (No. 166, hexagonal axes)
Asymmetric unit:
1 Lu 0.0000 0.0000 0.2336 (multiplicity 6)
2 Rh 0.0000 0.0000 0.5000 (multiplicity 3)
3 Cl 0.0000 0.0000 0.0000 (multiplicity 3)

# 2
First-principles (GGA-PBE) data for a relaxed structure of CeLuAlTc, as listed in Alexandria via LeMat-Bulk.

Properties
**Energy of formation from the pure elements**: -0.18 eV/atom

Cell lengths 6.9935, 6.9935, 6.9935 Å; angles 90.00, 90.00, 90.00 degrees
Space group F-43m (No. 216)
Asymmetric unit:
1 Ce 0.0000 0.0000 0.0000 (multiplicity 4)
2 Lu 0.0000 0.0000 0.5000 (multiplicity 4)
3 Al 0.2500 0.2500 0.2500 (multiplicity 4)
4 Tc 0.2500 0.2500 0.7500 (multiplicity 4)

# 3
First-principles (GGA-PBE) data for a relaxed structure of Ba6Tl2S, as listed in Alexandria via LeMat-Bulk.

Properties
**Uncorrected formation energy**: -632.1 meV/atom

Cell lengths 8.0882, 8.9189, 14.3519 Å; angles 90.00, 123.85, 90.00 degrees
Space group P2_1/c (No. 14)
Asymmetric unit:
1 Ba 0.1217 0.1842 0.4371 (multiplicity 4)
2 Ba 0.2665 0.6929 0.4415 (multiplicity 4)
3 Ba 0.3705 0.0343 0.2517 (multiplicity 4)
4 Tl 0.2153 0.0922 0.7510 (multiplicity 4)
5 S 0.5000 0.0000 0.5000 (multiplicity 2)

# 4
First-principles (GGA-PBE) data for a relaxed structure of AcUSe2O, as listed in Alexandria via LeMat-Bulk.

Properties
**Uncorrected formation energy**: -2080.4 meV/atom

Cell lengths 4.1608, 4.1608, 14.5086 Å; angles 90.00, 90.00, 90.00 degrees
Space group P4/nmm (No. 129, origin choice 2)
Asymmetric unit:
1 Ac 0.2500 0.2500 0.0909 (multiplicity 2)
2 U 0.2500 0.2500 0.6052 (multiplicity 2)
3 Se 0.2500 0.2500 0.4017 (multiplicity 2)
4 Se 0.2500 0.2500 0.7914 (multiplicity 2)
5 O 0.2500 0.7500 0.0000 (multiplicity 2)